1.
Entry from the Alexandria database: crystalline Ce4PtCl5 at its relaxed geometry (PBE-GGA). Values from VASP.

Energy relative to the elements, uncorrected (eV per atom): -1.6816
Total DFT energy (no corrections) (Ry per atom): -0.4103
Space group: C2/m, No. 12

Quantum ESPRESSO input file:
```
&SYSTEM
  ibrav = 0, nat = 10, ntyp = 3
/
ATOMIC_SPECIES
Ce 140.12 Ce.upf
Pt 195.08 Pt.upf
Cl 35.45 Cl.upf
CELL_PARAMETERS angstrom
8.998 -1.972 0.000
8.998 1.972 0.000
-1.864 0.000 8.325
ATOMIC_POSITIONS angstrom
Ce -0.321 0.000 1.948
Ce 4.170 0.000 7.783
Ce 11.960 0.000 0.542
Ce 16.452 0.000 6.377
Pt 8.998 0.000 0.000
Cl 1.389 0.000 6.723
Cl 2.480 0.000 2.596
Cl 8.065 0.000 4.162
Cl 13.651 0.000 5.729
Cl 14.741 0.000 1.602
```

2.
Entry from the Alexandria database: crystalline Ce4PtCl5 at its relaxed geometry (PBE-GGA). Values from VASP.

Energy relative to the elements, uncorrected (eV per atom): -1.6490
Total DFT energy (no corrections) (Ry per atom): -0.4079
Space group: C2/m, No. 12

Quantum ESPRESSO input file:
```
&SYSTEM
  ibrav = 0, nat = 10, ntyp = 3
/
ATOMIC_SPECIES
Ce 140.12 Ce.upf
Pt 195.08 Pt.upf
Cl 35.45 Cl.upf
CELL_PARAMETERS angstrom
9.108 -2.025 0.000
9.108 2.025 0.000
-1.529 0.000 7.409
ATOMIC_POSITIONS angstrom
Ce 0.650 0.000 2.387
Ce 6.388 0.000 1.449
Ce 10.300 0.000 5.960
Ce 16.039 0.000 5.022
Pt 8.344 0.000 3.705
Cl 3.131 0.000 0.634
Cl 2.570 0.000 4.477
Cl 9.108 0.000 0.000
Cl 14.118 0.000 2.932
Cl 13.557 0.000 6.775
```

3.
Entry from the Alexandria database: crystalline Ce3PtCl3 at its relaxed geometry (PBE-GGA). Values from VASP.

Energy relative to the elements, uncorrected (eV per atom): -1.5641
Total DFT energy (no corrections) (Ry per atom): -0.4235
Space group: I4_132, No. 214

Quantum ESPRESSO input file:
```
&SYSTEM
  ibrav = 0, nat = 28, ntyp = 3
/
ATOMIC_SPECIES
Ce 140.12 Ce.upf
Pt 195.08 Pt.upf
Cl 35.45 Cl.upf
CELL_PARAMETERS angstrom
-5.876 5.876 5.876
5.876 -5.876 5.876
5.876 5.876 -5.876
ATOMIC_POSITIONS angstrom
Ce 1.548 1.469 -1.390
Ce 7.266 1.548 -1.469
Ce 1.469 -1.390 1.548
Ce 4.486 4.328 -1.469
Ce 4.328 1.469 1.390
Ce -1.390 1.548 1.469
Ce 4.328 -1.469 4.486
Ce 1.469 1.390 4.328
Ce 1.390 4.328 1.469
Ce 1.548 -1.469 7.266
Ce -1.469 7.266 1.548
Ce -1.469 4.486 4.328
Pt 4.407 1.469 -1.469
Pt 1.469 1.469 1.469
Pt 1.469 -1.469 4.407
Pt -1.469 4.407 1.469
Cl 7.345 1.437 1.501
Cl 7.345 -1.437 4.375
Cl 4.375 7.345 -1.437
Cl 4.439 1.501 4.407
Cl 4.407 4.439 1.501
Cl 1.501 7.345 1.437
Cl 7.313 4.375 4.407
Cl 1.501 4.407 4.439
Cl 1.437 1.501 7.345
Cl 4.407 7.313 4.375
Cl -1.437 4.375 7.345
Cl 4.375 4.407 7.313
```

4.
Entry from the Alexandria database: crystalline CePuCl6 at its relaxed geometry (PBE-GGA). Values from VASP.

Energy relative to the elements, uncorrected (eV per atom): -2.0407
Total DFT energy (no corrections) (Ry per atom): -0.4380
Space group: C2/m, No. 12

Quantum ESPRESSO input file:
```
&SYSTEM
  ibrav = 0, nat = 8, ntyp = 3
/
ATOMIC_SPECIES
Ce 140.12 Ce.upf
Pu 244.00 Pu.upf
Cl 35.45 Cl.upf
CELL_PARAMETERS angstrom
3.442 -6.075 0.000
3.442 6.075 0.000
-1.800 0.000 6.676
ATOMIC_POSITIONS angstrom
Ce 0.000 0.000 0.000
Pu 2.542 0.000 3.338
Cl 1.275 1.780 1.672
Cl 0.372 0.000 5.015
Cl 1.275 -1.780 1.672
Cl 3.808 1.780 5.004
Cl 4.712 0.000 1.661
Cl 3.808 -1.780 5.004
```

5.
Entry from the Alexandria database: crystalline Ce2PuCl at its relaxed geometry (PBE-GGA). Values from VASP.

Energy relative to the elements, uncorrected (eV per atom): -0.4763
Total DFT energy (no corrections) (Ry per atom): -0.5504
Space group: R-3m, No. 166

Quantum ESPRESSO input file:
```
&SYSTEM
  ibrav = 0, nat = 4, ntyp = 3
/
ATOMIC_SPECIES
Ce 140.12 Ce.upf
Pu 244.00 Pu.upf
Cl 35.45 Cl.upf
CELL_PARAMETERS angstrom
1.847 1.066 7.449
-1.847 1.066 7.449
0.000 -2.133 7.449
ATOMIC_POSITIONS angstrom
Ce 0.000 0.000 5.235
Ce 0.000 0.000 17.113
Pu 0.000 0.000 11.174
Cl 0.000 0.000 0.000
```

6.
Entry from the Alexandria database: crystalline Ce2PuCl6 at its relaxed geometry (PBE-GGA). Values from VASP.

Energy relative to the elements, uncorrected (eV per atom): -1.8811
Total DFT energy (no corrections) (Ry per atom): -0.4427
Space group: C2/m, No. 12

Quantum ESPRESSO input file:
```
&SYSTEM
  ibrav = 0, nat = 9, ntyp = 3
/
ATOMIC_SPECIES
Ce 140.12 Ce.upf
Pu 244.00 Pu.upf
Cl 35.45 Cl.upf
CELL_PARAMETERS angstrom
7.595 -1.980 0.000
7.595 1.980 0.000
-3.741 0.000 9.636
ATOMIC_POSITIONS angstrom
Ce 1.351 0.000 3.337
Ce 10.099 0.000 6.299
Pu 7.595 0.000 0.000
Cl 1.935 0.000 0.520
Cl 0.446 0.000 6.051
Cl 4.506 0.000 6.893
Cl 6.944 0.000 2.743
Cl 11.003 0.000 3.585
Cl 9.514 0.000 9.116
```

7.
Entry from the Alexandria database: crystalline CePuCl6 at its relaxed geometry (PBE-GGA). Values from VASP.

Energy relative to the elements, uncorrected (eV per atom): -2.0343
Total DFT energy (no corrections) (Ry per atom): -0.4375
Space group: R-3, No. 148

Quantum ESPRESSO input file:
```
&SYSTEM
  ibrav = 0, nat = 8, ntyp = 3
/
ATOMIC_SPECIES
Ce 140.12 Ce.upf
Pu 244.00 Pu.upf
Cl 35.45 Cl.upf
CELL_PARAMETERS angstrom
3.437 1.985 6.421
-3.437 1.985 6.421
0.000 -3.969 6.421
ATOMIC_POSITIONS angstrom
Ce 0.000 0.000 0.000
Pu 0.000 0.000 9.631
Cl -2.217 0.108 8.015
Cl -1.202 -1.866 11.248
Cl 1.015 -1.974 8.015
Cl -1.015 1.974 11.248
Cl 1.202 1.866 8.015
Cl 2.217 -0.108 11.248
```

8.
Entry from the Alexandria database: crystalline CePuCl2 at its relaxed geometry (PBE-GGA). Values from VASP.

Energy relative to the elements, uncorrected (eV per atom): -1.1083
Total DFT energy (no corrections) (Ry per atom): -0.5217
Space group: R-3m, No. 166

Quantum ESPRESSO input file:
```
&SYSTEM
  ibrav = 0, nat = 4, ntyp = 3
/
ATOMIC_SPECIES
Ce 140.12 Ce.upf
Pu 244.00 Pu.upf
Cl 35.45 Cl.upf
CELL_PARAMETERS angstrom
1.797 1.038 9.839
-1.797 1.038 9.839
0.000 -2.075 9.839
ATOMIC_POSITIONS angstrom
Ce 0.000 0.000 0.000
Pu 0.000 0.000 14.759
Cl 0.000 0.000 2.919
Cl 0.000 0.000 26.599
```